[1]
5
Lattice="4.761 0.000 0.000 0.000 4.761 0.000 0.000 0.000 4.815" Properties=species:S:1:pos:R:3 comment="ScZn2CuAu PBE optimized geometry" total_magnetization_mub_per_cell=0.25 formation_energy_ev_per_atom=0.29 pbc="T T T"
Sc 0.000 0.000 0.000
Zn 0.000 2.381 2.407
Zn 2.381 0.000 2.407
Cu 2.381 2.381 0.000
Au 2.381 2.381 2.407

***

[2]
4
Lattice="4.197 0.000 0.000 0.000 4.197 0.000 0.000 0.000 4.183" Properties=species:S:1:pos:R:3 comment="CuAuSe2 PBE optimized geometry" total_magnetization_mub_per_cell=0.00 e_form_raw_ev_per_fu=1.63 pbc="T T T"
Cu 0.000 0.000 0.000
Au 2.099 2.099 0.000
Se 0.000 2.099 2.091
Se 2.099 0.000 2.091

***

[3]
4
Lattice="-2.649 2.649 2.774 2.649 -2.649 2.774 2.649 2.649 -2.774" Properties=species:S:1:pos:R:3 comment="CuAuSe2 PBE optimized geometry" total_magnetization_mub_per_cell=0.00 e_form_raw_ev_per_fu=0.37 pbc="T T T"
Cu 0.000 0.000 0.000
Au 0.000 0.000 2.774
Se 2.649 0.000 0.000
Se 0.000 2.649 0.000

***

[4]
4
Lattice="2.779 0.000 0.000 0.000 2.779 0.000 0.000 0.000 10.431" Properties=species:S:1:pos:R:3 comment="CuAuSe2 PBE optimized geometry" total_magnetization_mub_per_cell=0.00 e_form_raw_ev_per_fu=1.30 pbc="T T T"
Cu 0.000 0.000 0.000
Au 0.000 0.000 5.215
Se 1.390 1.390 1.981
Se 1.390 1.390 8.450

***

[5]
4
Lattice="1.784 -2.229 0.000 1.784 2.229 0.000 0.000 0.000 10.004" Properties=species:S:1:pos:R:3 comment="CuAuSe2 PBE optimized geometry" total_magnetization_mub_per_cell=0.00 e_form_raw_ev_per_fu=0.71 pbc="T T T"
Cu 0.000 0.000 0.000
Au 1.784 0.000 1.965
Se 0.000 0.000 4.395
Se 1.784 0.000 8.189

***

[6]
4
Lattice="3.997 0.000 0.000 0.000 3.997 0.000 0.000 0.000 5.824" Properties=species:S:1:pos:R:3 comment="CuAuSe2 PBE optimized geometry" total_magnetization_mub_per_cell=0.00 e_form_raw_ev_per_fu=-0.10 pbc="T T T"
Cu 0.000 0.000 0.000
Au 1.999 1.999 2.912
Se 0.000 1.999 4.539
Se 1.999 0.000 1.285

***

[7]
4
Lattice="2.763 0.000 0.000 0.000 3.545 0.000 0.000 0.000 7.581" Properties=species:S:1:pos:R:3 comment="CuAuSe2 PBE optimized geometry" total_magnetization_mub_per_cell=0.00 e_form_raw_ev_per_fu=1.34 pbc="T T T"
Cu 0.000 0.000 0.000
Au 0.000 0.000 3.791
Se 1.382 1.772 1.637
Se 1.382 1.772 5.944

***

[8]
4
Lattice="3.557 -2.049 0.000 3.557 2.049 0.000 -2.432 0.000 5.678" Properties=species:S:1:pos:R:3 comment="CuAuSe2 PBE optimized geometry" total_magnetization_mub_per_cell=0.00 e_form_raw_ev_per_fu=0.05 pbc="T T T"
Cu 0.000 0.000 0.000
Au 0.204 0.000 4.316
Se 2.900 0.000 3.038
Se 4.378 0.000 0.928

***

[9]
4
Lattice="1.412 0.815 9.804 -1.412 0.815 9.804 0.000 -1.630 9.804" Properties=species:S:1:pos:R:3 comment="Cu2AuSe PBE optimized geometry" total_magnetization_mub_per_cell=0.00 e_form_raw_ev_per_fu=0.85 pbc="T T T"
Cu 0.000 0.000 0.000
Cu 0.000 0.000 7.884
Au 0.000 0.000 15.449
Se 0.000 0.000 21.715

***

[10]
8
Lattice="-2.063 2.063 8.269 2.063 -2.063 8.269 2.063 2.063 -8.269" Properties=species:S:1:pos:R:3 comment="Cu2AuSe PBE optimized geometry" total_magnetization_mub_per_cell=0.00 e_form_raw_ev_per_fu=0.87 pbc="T T T"
Cu 3.095 0.839 -2.067
Cu 0.839 1.032 2.067
Cu -1.032 1.224 6.202
Cu 1.224 1.032 10.336
Au 2.063 0.000 4.134
Au 0.000 0.000 8.269
Se 0.000 0.000 0.000
Se 0.000 2.063 4.134

***

[11]
4
Lattice="1.955 -1.966 0.000 1.955 1.966 0.000 0.000 0.000 8.755" Properties=species:S:1:pos:R:3 comment="Cu2AuSe PBE optimized geometry" total_magnetization_mub_per_cell=0.00 e_form_raw_ev_per_fu=0.62 pbc="T T T"
Cu 0.000 0.000 0.000
Cu 1.955 0.000 1.677
Au 0.000 0.000 3.590
Se 1.955 0.000 6.778

***

[12]
4
Lattice="2.928 0.000 0.000 0.000 3.797 0.000 0.000 0.000 7.447" Properties=species:S:1:pos:R:3 comment="CuAuSe2 PBE optimized geometry" total_magnetization_mub_per_cell=0.00 e_form_raw_ev_per_fu=0.67 pbc="T T T"
Cu 0.000 0.000 0.000
Au 1.464 1.899 5.752
Se 0.000 0.000 4.250
Se 1.464 1.899 1.000

***

[13]
4
Lattice="4.054 -1.396 0.000 4.054 1.396 0.000 -1.414 0.000 6.401" Properties=species:S:1:pos:R:3 comment="Cu2AuSe PBE optimized geometry" total_magnetization_mub_per_cell=0.00 e_form_raw_ev_per_fu=0.33 pbc="T T T"
Cu 0.000 0.000 0.000
Cu 4.444 0.000 5.253
Au 2.225 0.000 3.959
Se 2.207 0.000 1.225

***

[14]
4
Lattice="3.327 0.000 0.000 0.000 3.327 0.000 0.000 0.000 5.631" Properties=species:S:1:pos:R:3 comment="Cu2AuSe PBE optimized geometry" total_magnetization_mub_per_cell=0.00 e_form_raw_ev_per_fu=0.40 pbc="T T T"
Cu 0.000 0.000 1.391
Cu 0.000 0.000 4.240
Au 1.663 1.663 2.816
Se 1.663 1.663 0.000

***

[15]
80
Lattice="-7.642 7.642 7.642 7.642 -7.642 7.642 7.642 7.642 -7.642" Properties=species:S:1:pos:R:3 comment="Cu3Au12Se5 PBE optimized geometry" total_magnetization_mub_per_cell=0.00 e_form_raw_ev_per_fu=3.63 pbc="T T T"
Cu 3.821 1.911 0.000
Cu 7.642 3.821 -1.911
Cu 1.911 0.000 3.821
Cu 9.553 0.000 3.821
Cu 0.000 3.821 1.911
Cu 3.821 -1.911 7.642
Cu 3.821 9.553 0.000
Cu 7.642 3.821 5.732
Cu -1.911 7.642 3.821
Cu 5.732 7.642 3.821
Cu 0.000 3.821 9.553
Cu 3.821 5.732 7.642
Au 2.370 -0.125 1.133
Au 9.093 4.954 -3.946
Au 7.518 -1.133 2.370
Au 11.588 -1.451 2.688
Au 10.012 0.125 1.133
Au 9.093 -2.688 3.946
Au 1.133 2.370 -0.125
Au 10.330 3.697 -1.451
Au 4.954 3.946 -1.451
Au 6.509 2.370 0.125
Au -0.125 1.133 2.370
Au 3.946 -1.451 4.954
Au 7.518 6.509 -2.370
Au 3.946 1.451 2.688
Au 6.509 -2.370 7.518
Au 4.954 -3.946 9.093
Au 2.688 3.946 1.451
Au 8.775 5.272 0.125
Au 2.370 7.518 -1.133
Au 9.093 2.688 3.697
Au 3.946 9.093 -2.688
Au 7.518 1.133 5.272
Au 1.451 2.688 3.946
Au 2.370 0.125 6.509
Au 5.272 7.518 1.133
Au 6.191 4.954 3.697
Au 0.125 6.509 2.370
Au 3.697 -1.451 10.330
Au -1.451 4.954 3.946
Au 5.272 0.125 8.775
Au -1.133 2.370 7.518
Au 4.954 3.697 6.191
Au 2.688 11.588 -1.451
Au 1.133 10.012 0.125
Au 3.697 6.191 4.954
Au 0.125 1.133 10.012
Au 3.697 9.093 2.688
Au 7.767 6.509 5.272
Au 1.133 5.272 7.518
Au 2.688 3.697 9.093
Au -2.688 3.946 9.093
Au 6.509 5.272 7.767
Au -1.451 10.330 3.697
Au -2.370 7.518 6.509
Au -3.946 9.093 4.954
Au 0.125 8.775 5.272
Au -1.451 2.688 11.588
Au 5.272 7.767 6.509
Se 0.000 0.000 0.000
Se 3.821 3.821 -3.821
Se 3.821 -3.821 3.821
Se 7.642 0.000 0.000
Se 11.463 1.911 0.000
Se 7.642 -3.821 5.732
Se 5.732 7.642 -3.821
Se 5.732 0.000 3.821
Se 3.821 5.732 0.000
Se 7.642 3.821 1.911
Se -3.821 3.821 3.821
Se 0.000 7.642 0.000
Se 0.000 0.000 7.642
Se 3.821 3.821 3.821
Se 0.000 3.821 5.732
Se 3.821 1.911 7.642
Se 1.911 7.642 3.821
Se 1.911 0.000 11.463
Se 0.000 11.463 1.911
Se -3.821 5.732 7.642

***

[16]
8
Lattice="-2.876 2.876 5.634 2.876 -2.876 5.634 2.876 2.876 -5.634" Properties=species:S:1:pos:R:3 comment="CuAuSe2 PBE optimized geometry" total_magnetization_mub_per_cell=0.00 e_form_raw_ev_per_fu=-0.07 pbc="T T T"
Cu 0.000 0.000 0.000
Cu 0.000 2.876 2.817
Au 2.876 0.000 2.817
Au 0.000 0.000 5.634
Se 4.314 1.277 -1.408
Se 1.277 1.438 1.408
Se -1.438 1.599 4.225
Se 1.599 1.438 7.042

***

[17]
11
Lattice="5.906 0.000 0.000 -2.050 7.554 0.000 -0.873 -3.386 7.056" Properties=species:S:1:pos:R:3 comment="Cu2Au2Se7 PBE optimized geometry" total_magnetization_mub_per_cell=0.00 e_form_raw_ev_per_fu=-0.12 pbc="T T T"
Cu 0.458 0.042 2.764
Cu 2.525 4.126 4.291
Au 0.917 -1.187 6.076
Au 2.066 5.355 0.979
Se -2.043 4.027 6.233
Se -0.743 5.589 3.693
Se 0.878 3.155 1.159
Se 1.492 2.084 3.528
Se 2.105 1.013 5.896
Se 3.726 -1.421 3.363
Se 5.026 0.141 0.822

***

[18]
4
Lattice="4.153 0.000 0.000 0.000 4.153 0.000 0.000 0.000 3.616" Properties=species:S:1:pos:R:3 comment="Cu2AuSe PBE optimized geometry" total_magnetization_mub_per_cell=0.00 e_form_raw_ev_per_fu=0.42 pbc="T T T"
Cu 0.000 2.077 0.000
Cu 2.077 0.000 0.000
Au 0.000 0.000 1.808
Se 2.077 2.077 1.808

***

[19]
4
Lattice="1.734 1.001 6.547 -1.734 1.001 6.547 0.000 -2.002 6.547" Properties=species:S:1:pos:R:3 comment="Cu2AuSe PBE optimized geometry" total_magnetization_mub_per_cell=0.00 e_form_raw_ev_per_fu=0.51 pbc="T T T"
Cu 0.000 0.000 0.000
Cu 0.000 0.000 3.458
Au 0.000 0.000 8.267
Se 0.000 0.000 11.568

***

[20]
4
Lattice="3.470 -1.429 0.000 3.470 1.429 0.000 -1.216 0.000 6.687" Properties=species:S:1:pos:R:3 comment="Cu2AuSe PBE optimized geometry" total_magnetization_mub_per_cell=0.00 e_form_raw_ev_per_fu=0.42 pbc="T T T"
Cu 1.428 0.000 1.619
Cu 4.296 0.000 5.068
Au -0.608 0.000 3.343
Se 3.470 0.000 0.000